No. 1
Below is a relaxed structure of K4ZrRe, with properties calculated at the PBE-GGA level.

Structure (extended XYZ):
```
6
Lattice="5.2168 0.1286 4.1897 -0.0823 -3.7215 5.5614 4.0089 -5.3336 0.5168" Properties=species:S:1:pos:R:3 pbc="T T T"
Zr 0.0000 0.0000 0.0000
Re 6.8575 -6.6949 7.7009
K 5.4246 -5.9988 4.1190
K 3.4401 -3.3585 3.8632
K 3.3994 -5.2008 6.6163
K 6.0226 -3.2949 5.9373
```



No. 2
Below is a relaxed structure of KZr3Re, with properties calculated at the PBE-GGA level.

Structure (extended XYZ):
```
5
Lattice="-0.2696 -4.8390 1.9857 3.3379 1.3717 3.7959 -4.0271 1.4609 3.0133" Properties=species:S:1:pos:R:3 pbc="T T T"
K -0.4794 -1.0032 4.3975
Zr -0.1348 -2.4195 0.9929
Zr 1.6690 0.6859 1.8979
Zr -2.0136 0.7304 1.5067
Re 0.0000 0.0000 0.0000
```

Calculated values
- offset from the most stable computed form (eV/atom) = 0.000



No. 3
Below is a relaxed structure of KZrRe2, with properties calculated at the PBE-GGA level.

Structure (extended XYZ):
```
4
Lattice="-4.4142 3.6211 2.0719 -5.7683 -0.9176 -1.6657 5.0104 -2.0955 2.7194" Properties=species:S:1:pos:R:3 pbc="T T T"
Zr -5.1999 1.3806 0.2075
Re -9.8067 2.6037 0.3913
Re -2.7535 1.5730 2.5174
K -2.6859 -0.8940 0.6189
```

Calculated values
- offset from the most stable computed form (eV/atom) = 0.461



Let's list energy relative to the elements in order: 1.692, 0.665, 1.015 eV per atom.